[1]
A plane-wave DFT calculation with PBE was carried out for crystalline ZnP3Au at its relaxed geometry.

The structure in POSCAR format:
```
ZnP3Au
1.0
4.601 0.000 0.000
0.000 4.601 0.000
0.000 0.000 4.601
P Zn Au
3 1 1
Direct
0.000 0.500 0.000
0.000 0.000 0.500
0.500 0.000 0.000
0.000 0.000 0.000
0.500 0.500 0.500
```

Summary:
energy above the most stable polymorph in this dataset: 0.000 eV/atom


[2]
A plane-wave DFT calculation with PBE was carried out for crystalline Tb5RuPt2 at its relaxed geometry.

The structure in POSCAR format:
```
Tb5RuPt2
1.0
-1.386 1.544 -3.630
-6.382 -4.605 0.478
-5.824 8.685 5.919
Tb Ru Pt
10 2 4
Direct
0.000 0.000 0.500
0.000 0.500 0.000
0.000 0.838 0.200
0.000 0.162 0.800
0.000 0.662 0.700
0.000 0.338 0.300
0.500 0.677 0.410
0.500 0.323 0.590
0.500 0.823 0.910
0.500 0.177 0.090
0.000 0.500 0.500
0.000 0.000 0.000
0.500 0.545 0.173
0.500 0.455 0.827
0.500 0.955 0.673
0.500 0.045 0.327
```


Computed values of ΔH_f (0 K) (unit: eV per atom) for the preceding records, in sequence: 1.094, -0.791.
Computed values of raw total energy (unit: hartree per atom) for the preceding records, in sequence: -0.1125, -0.2335.